The following is a DFT calculation (PBE) of Cs5H8Au after structural relaxation.

Unit cell a=7.946 b=7.946 c=7.946 alpha=111.54 beta=111.54 gamma=105.40
Fractional coordinates of all 14 atoms:
Cs: 0.000 0.000 0.000
Cs: 0.290 0.124 0.582
Cs: 0.292 0.710 0.834
Cs: 0.542 0.708 0.418
Cs: 0.876 0.458 0.166
H: 0.187 0.784 0.185
H: 0.216 0.401 0.403
H: 0.564 0.243 0.308
H: 0.599 0.003 0.815
H: 0.744 0.436 0.678
H: 0.757 0.066 0.322
H: 0.934 0.256 0.692
H: 0.997 0.813 0.597
Au: 0.750 0.250 0.500

Output
Total magnetization   0.00 μB per formula unit
DOS at the Fermi energy   0.000 states/eV/cell
Final energy   -0.188 Ry per atom
Space-group type   No. 82

***

The following is a DFT calculation (PBE) of BaLuAg2 after structural relaxation.

Unit cell a=3.753 b=3.753 c=7.896 alpha=90.00 beta=90.00 gamma=90.00
Fractional coordinates of all 4 atoms:
Ba: 0.000 0.000 0.000
Lu: 0.000 0.000 0.500
Ag: 0.500 0.500 0.307
Ag: 0.500 0.500 0.693

Output
Formation enthalpy at 0 K   -241 meV/atom
Total magnetization   0.00 μB per formula unit
DOS at the Fermi energy   3.325 states/eV/cell
Final energy   -0.241 Ry per atom
Space-group type   No. 123
Excess energy over the best structure of this formula in the dataset   0.0000 eV per atom

***

- Which value of final energy does entry 2 give?
  -0.241 Ry per atom